Crystalline LaPr4Tm at its relaxed geometry, computed with PBE.

```
data_LaPr4Tm
_cell_length_a 12.020
_cell_length_b 3.509
_cell_length_c 11.755
_cell_angle_alpha 90.00
_cell_angle_beta 119.40
_cell_angle_gamma 90.00
_symmetry_space_group_name_H-M 'C 1 2/m 1'
_symmetry_Int_Tables_number 12
loop_
_symmetry_equiv_pos_as_xyz
'x,y,z'
'-x,-y,-z'
'-x,y,-z'
'x,-y,z'
'x+1/2,y+1/2,z'
'-x+1/2,-y+1/2,-z'
'-x+1/2,y+1/2,-z'
'x+1/2,-y+1/2,z'
loop_
_atom_site_label
_atom_site_type_symbol
_atom_site_fract_x
_atom_site_fract_y
_atom_site_fract_z
La1 La 0.000 0.000 0.000
Pr1 Pr 0.186 0.000 0.841
Pr2 Pr 0.193 0.000 0.348
Tm1 Tm 0.000 0.000 0.500
```

Results
magnetization	0.0	μB/f.u.
E above lowest polymorph	0.149	eV per atom
E	-55.005	eV/cell
theoretical density	6.7	g/cm³
energy relative to the elements	169	meV per atom